[1]
Computed, not measured: a relaxed TiVS2 crystal at the GGA-PBE level of DFT.

Output
Distance to the lowest polymorph of the same formula   1.54 eV per formula unit
Symmetry   No. 122
Formation energy without anion corrections   -0.77 eV/atom

Lattice parameters (Å, degrees): 5.4556 5.4556 6.5911 65.55 65.55 90.00
Positions (direct):
Ti (0.5000, 0.5000, 0.0000)
S (0.8750, 0.8815, 0.7500)
Ti (0.2500, 0.7500, 0.5000)
S (0.6315, 0.1250, 0.2500)
V (0.7500, 0.2500, 0.5000)
S (0.1185, 0.6250, 0.2500)
V (0.0000, 0.0000, 0.0000)
S (0.3750, 0.3685, 0.7500)

[2]
Computed, not measured: a relaxed TiVS2 crystal at the GGA-PBE level of DFT.

Output
Distance to the lowest polymorph of the same formula   0.00 eV per formula unit
Symmetry   No. 26
Formation energy without anion corrections   -1.16 eV/atom

Lattice parameters (Å, degrees): 3.3186 5.8447 5.9697 90.00 90.00 90.00
Positions (direct):
S (0.5000, 0.1795, 0.7854)
S (0.0000, 0.3359, 0.2200)
S (0.0000, 0.6641, 0.7200)
V (0.5000, 0.5575, 0.9855)
Ti (0.0000, 0.9421, 0.0090)
S (0.5000, 0.8205, 0.2854)
Ti (0.0000, 0.0579, 0.5090)
V (0.5000, 0.4425, 0.4855)

[3]
Computed, not measured: a relaxed Ti3VS6 crystal at the GGA-PBE level of DFT.

Output
Symmetry   No. 148
Formation energy without anion corrections   -1.13 eV/atom

Lattice parameters (Å, degrees): 7.1200 7.1200 7.1200 88.86 88.86 88.86
Positions (direct):
S (0.8852, 0.6905, 0.0842)
S (0.1148, 0.3095, 0.9158)
S (0.1776, 0.5372, 0.4022)
V (0.5000, 0.5000, 0.5000)
S (0.6905, 0.0842, 0.8852)
S (0.8224, 0.4628, 0.5978)
V (0.0000, 0.0000, 0.0000)
S (0.5978, 0.8224, 0.4628)
S (0.4628, 0.5978, 0.8224)
S (0.3095, 0.9158, 0.1148)
S (0.9158, 0.1148, 0.3095)
Ti (0.0764, 0.2145, 0.5899)
S (0.5372, 0.4022, 0.1776)
Ti (0.9236, 0.7855, 0.4101)
S (0.4022, 0.1776, 0.5372)
S (0.0842, 0.8852, 0.6905)
Ti (0.5899, 0.0764, 0.2145)
Ti (0.7855, 0.4101, 0.9236)
Ti (0.2145, 0.5899, 0.0764)
Ti (0.4101, 0.9236, 0.7855)

[4]
Computed, not measured: a relaxed TiV3S6 crystal at the GGA-PBE level of DFT.

Output
Distance to the lowest polymorph of the same formula   0.99 eV per formula unit
Symmetry   No. 11
Formation energy without anion corrections   -0.91 eV/atom

Lattice parameters (Å, degrees): 3.3451 9.8667 10.0238 110.40 90.00 90.00
Positions (direct):
V (0.7500, 0.1227, 0.0595)
S (0.7500, 0.9173, 0.1112)
S (0.7500, 0.4844, 0.6220)
S (0.7500, 0.8192, 0.7542)
V (0.7500, 0.6801, 0.5072)
S (0.7500, 0.1107, 0.4682)
V (0.7500, 0.4559, 0.8781)
S (0.2500, 0.5156, 0.3780)
S (0.2500, 0.1808, 0.2458)
S (0.2500, 0.2749, 0.7229)
S (0.2500, 0.8893, 0.5318)
S (0.7500, 0.3722, 0.0679)
V (0.2500, 0.5441, 0.1219)
V (0.2500, 0.8773, 0.9405)
Ti (0.2500, 0.9401, 0.3012)
S (0.7500, 0.7251, 0.2771)
S (0.2500, 0.6278, 0.9321)
S (0.2500, 0.0827, 0.8888)
Ti (0.7500, 0.0599, 0.6988)
V (0.2500, 0.3199, 0.4928)

What did the third record say?
Computed, not measured: a relaxed Ti3VS6 crystal at the GGA-PBE level of DFT.

Output
Symmetry   No. 148
Formation energy without anion corrections   -1.13 eV/atom

Lattice parameters (Å, degrees): 7.1200 7.1200 7.1200 88.86 88.86 88.86
Positions (direct):
S (0.8852, 0.6905, 0.0842)
S (0.1148, 0.3095, 0.9158)
S (0.1776, 0.5372, 0.4022)
V (0.5000, 0.5000, 0.5000)
S (0.6905, 0.0842, 0.8852)
S (0.8224, 0.4628, 0.5978)
V (0.0000, 0.0000, 0.0000)
S (0.5978, 0.8224, 0.4628)
S (0.4628, 0.5978, 0.8224)
S (0.3095, 0.9158, 0.1148)
S (0.9158, 0.1148, 0.3095)
Ti (0.0764, 0.2145, 0.5899)
S (0.5372, 0.4022, 0.1776)
Ti (0.9236, 0.7855, 0.4101)
S (0.4022, 0.1776, 0.5372)
S (0.0842, 0.8852, 0.6905)
Ti (0.5899, 0.0764, 0.2145)
Ti (0.7855, 0.4101, 0.9236)
Ti (0.2145, 0.5899, 0.0764)
Ti (0.4101, 0.9236, 0.7855)

What did the third record say?
Computed, not measured: a relaxed Ti3VS6 crystal at the GGA-PBE level of DFT.

Output
Symmetry   No. 148
Formation energy without anion corrections   -1.13 eV/atom

Lattice parameters (Å, degrees): 7.1200 7.1200 7.1200 88.86 88.86 88.86
Positions (direct):
S (0.8852, 0.6905, 0.0842)
S (0.1148, 0.3095, 0.9158)
S (0.1776, 0.5372, 0.4022)
V (0.5000, 0.5000, 0.5000)
S (0.6905, 0.0842, 0.8852)
S (0.8224, 0.4628, 0.5978)
V (0.0000, 0.0000, 0.0000)
S (0.5978, 0.8224, 0.4628)
S (0.4628, 0.5978, 0.8224)
S (0.3095, 0.9158, 0.1148)
S (0.9158, 0.1148, 0.3095)
Ti (0.0764, 0.2145, 0.5899)
S (0.5372, 0.4022, 0.1776)
Ti (0.9236, 0.7855, 0.4101)
S (0.4022, 0.1776, 0.5372)
S (0.0842, 0.8852, 0.6905)
Ti (0.5899, 0.0764, 0.2145)
Ti (0.7855, 0.4101, 0.9236)
Ti (0.2145, 0.5899, 0.0764)
Ti (0.4101, 0.9236, 0.7855)